## FeSiC2 (PBE)

Data for FeSiC2 after structural relaxation.

Cell lengths 4.976, 2.876, 5.752 Å; angles 90.00, 106.68, 90.00 degrees
Space group Cm (No. 8)
Unique sites:
1 Fe 0.000 0.000 0.000
2 Si 0.294 0.500 0.381
3 C 0.014 0.500 0.541
4 C 0.099 0.500 0.796

Values from the calculation:
- Formation energy (no corrections): 178 kJ/mol of formula units
- Total magnetization: 1.87 μB per formula unit
- Crystal system: monoclinic
- D(E_F): 4.142 states/eV per cell